A plane-wave DFT calculation with GGA-PBE was carried out for crystalline LiPtO3 at its relaxed geometry.

```
data_LiPtO3
_chemical_formula_sum 'Li4 Pt4 O12'
_space_group_name_H-M_alt 'C 1 2 1'
_space_group_IT_number 5
_cell_length_a 5.2622
_cell_length_b 8.8640
_cell_length_c 5.0676
_cell_angle_alpha 90.00
_cell_angle_beta 111.22
_cell_angle_gamma 90.00
loop_
_space_group_symop_operation_xyz
'x,y,z'
'-x,y,-z'
'x+1/2,y+1/2,z'
'-x+1/2,y+1/2,-z'
loop_
_atom_site_label
_atom_site_type_symbol
_atom_site_fract_x
_atom_site_fract_y
_atom_site_fract_z
Li1 Li 0.0000 0.0000 0.0000
Li2 Li 0.0000 0.3591 0.0000
Pt1 Pt 0.0000 0.1988 0.5000
Pt2 Pt 0.0000 0.5393 0.5000
O1 O 0.2112 0.3698 0.7397
O2 O 0.2243 0.1836 0.2568
O3 O 0.2384 0.5452 0.2697
```



A plane-wave DFT calculation with GGA-PBE was carried out for crystalline BaSn2PtPb at its relaxed geometry.

```
data_BaSn2PtPb
_chemical_formula_sum 'Ba2 Sn4 Pt2 Pb2'
_space_group_name_H-M_alt 'I 4 m m'
_space_group_IT_number 107
_space_group_name_Hall 'I 4 -2'
_cell_length_a 4.9953
_cell_length_b 4.9953
_cell_length_c 11.3886
_cell_angle_alpha 90.00
_cell_angle_beta 90.00
_cell_angle_gamma 90.00
loop_
_atom_site_label
_atom_site_type_symbol
_atom_site_fract_x
_atom_site_fract_y
_atom_site_fract_z
Ba1 Ba 0.0000 0.0000 0.0000
Sn1 Sn 0.0000 0.5000 0.2485
Pt1 Pt 0.0000 0.0000 0.6572
Pb1 Pb 0.0000 0.0000 0.4158
```



| no. | total energy (eV/atom) |
| --- | --- |
| 1 | -5.40 |
| 2 | -4.53 |